Arrangement one

Crystalline YPS2O at its relaxed geometry, computed with PBE.

```
5
Lattice="5.251 0.000 0.000 0.000 5.251 0.000 0.000 0.000 5.539" Properties=species:S:1:pos:R:3 pbc="T T T"
Y 0.000 0.000 0.000
P 0.000 0.000 2.769
S 0.000 2.626 0.000
S 2.626 0.000 0.000
O 2.626 2.626 2.769
```

---

Arrangement two

Crystalline YPS2O at its relaxed geometry, computed with PBE.

```
5
Lattice="4.409 0.000 0.000 0.000 4.409 0.000 0.000 0.000 4.152" Properties=species:S:1:pos:R:3 pbc="T T T"
Y 0.000 0.000 0.000
P 2.205 2.205 0.000
S 0.000 2.205 2.076
S 2.205 0.000 2.076
O 2.205 2.205 2.076
```

---

The structures above, arranged from the most stable to the least stable: arrangement two, arrangement one.